(1)
A plane-wave DFT calculation with PBE-GGA was carried out for a relaxed structure of Dy5Tl2RuRh2.

Size of the total moment ... 0.000 μB/cell
Total energy ... -5.680 eV/atom
Formation energy ... -5.078 eV/f.u.

Cell lengths 11.696, 11.696, 3.501 Å; angles 90.00, 90.00, 90.00 degrees
Space group P4/mbm (No. 127)
Unique sites:
Dy  0.000  0.500  0.000 [2 per cell]
Dy  0.066  0.194  0.000 [8 per cell]
Tl  0.177  0.677  0.500 [4 per cell]
Ru  0.000  0.000  0.500 [2 per cell]
Rh  0.134  0.366  0.500 [4 per cell]

---

(2)
A plane-wave DFT calculation with PBE-GGA was carried out for a relaxed structure of Pr7In2Ge2.

Size of the total moment ... 0.001 μB/cell
Total energy ... -4.536 eV/atom
Formation energy ... -1.732 eV/f.u.

Cell lengths 7.696, 11.286, 8.189 Å; angles 90.00, 90.00, 90.00 degrees
Space group Cmmm (No. 65)
Unique sites:
Pr  0.000  0.000  0.000 [2 per cell]
Pr  0.000  0.500  0.274 [4 per cell]
Pr  0.250  0.250  0.303 [8 per cell]
In  0.000  0.293  0.000 [4 per cell]
Ge  0.166  0.000  0.500 [4 per cell]

---

(3)
A plane-wave DFT calculation with PBE-GGA was carried out for a relaxed structure of Ca2Cl2F.

Size of the total moment ... 0.000 μB/cell
Energy above the most stable polymorph in this dataset ... 0.0 kJ/mol of atoms
Total energy ... -4.215 eV/atom

Cell lengths 6.952, 6.952, 4.499 Å; angles 90.00, 90.00, 90.00 degrees
Space group P4/mbm (No. 127)
Unique sites:
Ca  0.183  0.317  0.000 [4 per cell]
Cl  0.159  0.659  0.500 [4 per cell]
F  0.000  0.000  0.000 [2 per cell]

---

(4)
A plane-wave DFT calculation with PBE-GGA was carried out for a relaxed structure of TaZn3Ru.

Size of the total moment ... 0.000 μB/cell
Energy above the most stable polymorph in this dataset ... 0.0 kJ/mol of atoms
Total energy ... -3.881 eV/atom
Formation energy ... 5.544 eV/f.u.

Cell lengths 4.582, 4.582, 4.582 Å; angles 90.00, 90.00, 90.00 degrees
Space group Pm-3m (No. 221)
Unique sites:
Ta  0.000  0.000  0.000 [1 per cell]
Zn  0.000  0.500  0.500 [3 per cell]
Ru  0.500  0.500  0.500 [1 per cell]

---

(5)
A plane-wave DFT calculation with PBE-GGA was carried out for a relaxed structure of Ba2HoCuO4.

Size of the total moment ... 0.074 μB/cell
Total energy ... -6.245 eV/atom

Cell lengths 6.146, 6.146, 7.782 Å; angles 90.00, 90.00, 90.00 degrees
Space group I-4 (No. 82)
Unique sites:
Ba  0.000  0.000  0.000 [2 per cell]
Ba  0.000  0.500  0.250 [2 per cell]
Ho  0.000  0.500  0.750 [2 per cell]
Cu  0.000  0.000  0.500 [2 per cell]
O  0.186  0.262  0.610 [8 per cell]

---

(6)
A plane-wave DFT calculation with PBE-GGA was carried out for a relaxed structure of Zr2AsBr.

Size of the total moment ... 0.000 μB/cell
Total energy ... -6.545 eV/atom

Cell lengths 6.783, 6.783, 6.783 Å; angles 90.00, 90.00, 90.00 degrees
Space group Fm-3m (No. 225)
Unique sites:
Zr  0.250  0.250  0.250 [8 per cell]
As  0.000  0.000  0.000 [4 per cell]
Br  0.000  0.000  0.500 [4 per cell]

---

(7)
A plane-wave DFT calculation with PBE-GGA was carried out for a relaxed structure of Be2SbRu.

Size of the total moment ... 0.000 μB/cell
Total energy ... -5.044 eV/atom

Cell lengths 5.526, 5.543, 3.421 Å; angles 90.00, 90.00, 90.00 degrees
Space group Cmmm (No. 65)
Unique sites:
Be  0.250  0.250  0.000 [4 per cell]
Sb  0.000  0.000  0.500 [2 per cell]
Ru  0.000  0.500  0.500 [2 per cell]

---

(8)
A plane-wave DFT calculation with PBE-GGA was carried out for a relaxed structure of KYW.

Size of the total moment ... 0.000 μB/cell
Energy above the most stable polymorph in this dataset ... 28.9 kJ/mol of atoms
Total energy ... -5.510 eV/atom
Formation energy ... 3.985 eV/f.u.

Cell lengths 5.5407, 5.5407, 2.7780 Å; angles 90.00, 90.00, 120.00 degrees
Space group P3m1 (No. 156)
Unique sites:
K  0.0000  0.0000  0.0000 [1 per cell]
Y  0.3333  0.6667  0.0024 [1 per cell]
W  0.6667  0.3333  0.5023 [1 per cell]

---

(9)
A plane-wave DFT calculation with PBE-GGA was carried out for a relaxed structure of Pr3PaH.

Size of the total moment ... 0.412 μB/cell
Total energy ... -5.373 eV/atom

Cell lengths 5.075, 5.075, 5.075 Å; angles 90.00, 90.00, 90.00 degrees
Space group Pm-3m (No. 221)
Unique sites:
Pr  0.000  0.000  0.500 [3 per cell]
Pa  0.500  0.500  0.500 [1 per cell]
H  0.000  0.000  0.000 [1 per cell]

---

(10)
A plane-wave DFT calculation with PBE-GGA was carried out for a relaxed structure of InP2Cl.

Size of the total moment ... 0.000 μB/cell
Energy above the most stable polymorph in this dataset ... 81.1 kJ/mol of atoms
Total energy ... -3.261 eV/atom

Cell lengths 6.723, 6.723, 6.723 Å; angles 90.00, 90.00, 90.00 degrees
Space group Fm-3m (No. 225)
Unique sites:
In  0.000  0.000  0.000 [4 per cell]
P  0.250  0.250  0.250 [8 per cell]
Cl  0.000  0.000  0.500 [4 per cell]

---

(11)
A plane-wave DFT calculation with PBE-GGA was carried out for a relaxed structure of BaNa3Rh.

Size of the total moment ... 0.000 μB/cell
Energy above the most stable polymorph in this dataset ... 0.0 kJ/mol of atoms
Total energy ... -2.334 eV/atom
Formation energy ... 1.559 eV/f.u.

Cell lengths 5.529, 5.529, 5.529 Å; angles 90.00, 90.00, 90.00 degrees
Space group Pm-3m (No. 221)
Unique sites:
Ba  0.000  0.000  0.000 [1 per cell]
Na  0.000  0.500  0.500 [3 per cell]
Rh  0.500  0.500  0.500 [1 per cell]

---

(12)
A plane-wave DFT calculation with PBE-GGA was carried out for a relaxed structure of LiTbThRu.

Size of the total moment ... 0.000 μB/cell
Total energy ... -6.019 eV/atom
Formation energy ... -0.835 eV/f.u.

Cell lengths 7.095, 7.095, 7.095 Å; angles 90.00, 90.00, 90.00 degrees
Space group F-43m (No. 216)
Unique sites:
Li  0.000  0.000  0.000 [4 per cell]
Tb  0.250  0.250  0.250 [4 per cell]
Th  0.250  0.250  0.750 [4 per cell]
Ru  0.000  0.000  0.500 [4 per cell]

---

(13)
A plane-wave DFT calculation with PBE-GGA was carried out for a relaxed structure of Li2CdP.

Size of the total moment ... 0.001 μB/cell
Total energy ... -2.740 eV/atom
Formation energy ... -0.805 eV/f.u.

Cell lengths 6.523, 6.523, 6.523 Å; angles 90.00, 90.00, 90.00 degrees
Space group F-43m (No. 216)
Unique sites:
Li  0.000  0.000  0.000 [4 per cell]
Li  0.250  0.250  0.250 [4 per cell]
Cd  0.250  0.250  0.750 [4 per cell]
P  0.000  0.000  0.500 [4 per cell]

---

(14)
A plane-wave DFT calculation with PBE-GGA was carried out for a relaxed structure of CdCoP.

Size of the total moment ... 0.000 μB/cell
Total energy ... -4.540 eV/atom
Formation energy ... -0.189 eV/f.u.

Cell lengths 3.0410, 3.0410, 6.0159 Å; angles 90.00, 90.00, 120.00 degrees
Space group P3m1 (No. 156)
Unique sites:
Cd  0.0000  0.0000  0.0000 [1 per cell]
Co  0.6667  0.3333  0.3596 [1 per cell]
P  0.3333  0.6667  0.5696 [1 per cell]

---

(15)
A plane-wave DFT calculation with PBE-GGA was carried out for a relaxed structure of TbDy3Pb2.

Size of the total moment ... 0.001 μB/cell
Energy above the most stable polymorph in this dataset ... 26.2 kJ/mol of atoms
Total energy ... -4.455 eV/atom
Formation energy ... -0.876 eV/f.u.

Cell lengths 7.336, 14.624, 7.589 Å; angles 90.00, 90.00, 90.00 degrees
Space group Ibam (No. 72)
Unique sites:
Tb  0.000  0.000  0.000 [4 per cell]
Dy  0.000  0.208  0.250 [8 per cell]
Dy  0.000  0.500  0.250 [4 per cell]
Pb  0.177  0.357  0.000 [8 per cell]

---

(16)
A plane-wave DFT calculation with PBE-GGA was carried out for a relaxed structure of Ga2Co2Ag.

Size of the total moment ... 0.000 μB/cell
Energy above the most stable polymorph in this dataset ... 0.0 kJ/mol of atoms
Total energy ... -4.695 eV/atom
Formation energy ... -0.361 eV/f.u.

Cell lengths 6.986, 6.986, 2.779 Å; angles 90.00, 90.00, 90.00 degrees
Space group P4/mbm (No. 127)
Unique sites:
Ga  0.143  0.357  0.000 [4 per cell]
Co  0.151  0.651  0.500 [4 per cell]
Ag  0.000  0.000  0.000 [2 per cell]

---

(17)
A plane-wave DFT calculation with PBE-GGA was carried out for a relaxed structure of La3TbDy6.

Size of the total moment ... 0.000 μB/cell
Energy above the most stable polymorph in this dataset ... 0.0 kJ/mol of atoms
Total energy ... -4.552 eV/atom
Formation energy ... 1.502 eV/f.u.

Cell lengths 11.039, 19.121, 6.378 Å; angles 90.00, 90.00, 90.00 degrees
Space group Cmc2_1 (No. 36)
Unique sites:
La  0.000  0.112  0.000 [4 per cell]
La  0.174  0.386  0.396 [8 per cell]
Tb  0.000  0.307  0.053 [4 per cell]
Dy  0.000  0.226  0.575 [4 per cell]
Dy  0.000  0.463  0.802 [4 per cell]
Dy  0.169  0.046  0.479 [8 per cell]
Dy  0.240  0.210  0.301 [8 per cell]

---

(18)
A plane-wave DFT calculation with PBE-GGA was carried out for a relaxed structure of CaY.

Size of the total moment ... 0.000 μB/cell
Energy above the most stable polymorph in this dataset ... 8.5 kJ/mol of atoms
Total energy ... -4.096 eV/atom
Formation energy ... 0.273 eV/f.u.

Cell lengths 3.979, 6.070, 11.880 Å; angles 90.00, 90.00, 90.00 degrees
Space group Imma (No. 74)
Unique sites:
Ca  0.000  0.250  0.123 [4 per cell]
Y  0.000  0.250  0.631 [4 per cell]

---

(19)
A plane-wave DFT calculation with PBE-GGA was carried out for a relaxed structure of Ba2MgAuN.

Size of the total moment ... 0.000 μB/cell
Energy above the most stable polymorph in this dataset ... 36.9 kJ/mol of atoms
Total energy ... -3.491 eV/atom

Cell lengths 5.864, 5.864, 4.206 Å; angles 90.00, 90.00, 90.00 degrees
Space group P4/mmm (No. 123)
Unique sites:
Ba  0.000  0.500  0.000 [2 per cell]
Mg  0.000  0.000  0.500 [1 per cell]
Au  0.500  0.500  0.500 [1 per cell]
N  0.500  0.500  0.000 [1 per cell]

---

(20)
A plane-wave DFT calculation with PBE-GGA was carried out for a relaxed structure of Rb2MgAlBi.

Size of the total moment ... 0.033 μB/cell
Total energy ... -1.946 eV/atom
Formation energy ... 1.425 eV/f.u.

Cell lengths 7.212, 7.212, 5.584 Å; angles 90.00, 90.00, 90.00 degrees
Space group P4/mmm (No. 123)
Unique sites:
Rb  0.000  0.500  0.000 [2 per cell]
Mg  0.000  0.000  0.500 [1 per cell]
Al  0.500  0.500  0.500 [1 per cell]
Bi  0.500  0.500  0.000 [1 per cell]